The following is a DFT calculation (PBE) of a relaxed CuSiPb crystal.

Cell lengths 6.292, 6.292, 6.292 Å; angles 90.00, 90.00, 90.00 degrees
Space group F-43m (No. 216)
Unique sites:
Cu 0.000 0.000 0.000 (multiplicity 4)
Si 0.250 0.250 0.250 (multiplicity 4)
Pb 0.250 0.250 0.750 (multiplicity 4)

- ΔE to the lowest computed polymorph (meV/atom) = 160
- ρ (g cm⁻³) = 7.97
- formation energy (no corrections) (eV per atom) = 0.375
- D(E_F) (states/eV per cell) = 8.371

=====

The following is a DFT calculation (PBE) of a relaxed Cu2SiPb crystal.

Cell lengths 6.590, 6.590, 6.590 Å; angles 90.00, 90.00, 90.00 degrees
Space group F-43m (No. 216)
Unique sites:
Cu 0.000 0.000 0.000 (multiplicity 4)
Cu 0.250 0.250 0.250 (multiplicity 4)
Si 0.250 0.250 0.750 (multiplicity 4)
Pb 0.000 0.000 0.500 (multiplicity 4)

- ΔE to the lowest computed polymorph (meV/atom) = 478
- ρ (g cm⁻³) = 8.41
- formation energy (no corrections) (eV per atom) = 0.572
- D(E_F) (states/eV per cell) = 12.083